Record 1
DFT (PBE) results for a geometry-optimized Gd2ThGa structure.

N(E_F) = 3.8 states/eV/cell
E_tot = -39.43 eV/cell
Symmetry = P4/mmm, No. 123
Crystal system = tetragonal
Energy of formation = -0.205 eV/atom

Cell lengths 4.826, 4.764, 4.764 Å; angles 90.00, 90.00, 90.00 degrees
Each line ends with the local moment (μB).
Atoms (fractional coordinates):
Gd 0.000 0.000 0.500  7.19
Ga 0.500 0.000 0.000  -0.04
Th 0.500 0.500 0.500  0.10
Gd 0.000 0.500 0.000  7.19

Record 2
DFT (PBE) results for a geometry-optimized GdThGa2 structure.

N(E_F) = 4.2 states/eV/cell
E_tot = -28.82 eV/cell
Symmetry = R-3m, No. 166
Crystal system = trigonal
Energy of formation = -0.316 eV/atom

Cell lengths 3.729, 3.729, 9.111 Å; angles 78.19, 78.19, 60.00 degrees
Each line ends with the local moment (μB).
Atoms (fractional coordinates):
Ga 0.252 0.252 0.243  0.00
Gd 0.000 0.000 0.000  7.07
Th 0.500 0.500 0.500  -0.04
Ga 0.748 0.748 0.757  0.00

Record 3
DFT (PBE) results for a geometry-optimized GdThGa2 structure.

N(E_F) = 3.0 states/eV/cell
E_tot = -29.55 eV/cell
Symmetry = P4/mmm, No. 123
Crystal system = tetragonal
Energy of formation = -0.500 eV/atom

Cell lengths 3.434, 3.434, 8.219 Å; angles 90.00, 90.00, 90.00 degrees
Each line ends with the local moment (μB).
Atoms (fractional coordinates):
Th 0.500 0.500 0.500  -0.05
Gd 0.500 0.500 0.000  7.13
Ga 0.000 0.000 0.757  -0.02
Ga 0.000 0.000 0.243  -0.02